! SrRu, optimized geometry, DFT PBE; values from VASP
&SYSTEM
  ibrav = 0, nat = 8, ntyp = 2
/
ATOMIC_SPECIES
Sr 87.62 Sr.upf
Ru 101.07 Ru.upf
ATOMIC_POSITIONS crystal
Sr 0.000 0.000 0.581
Sr 0.000 0.581 0.000
Sr 0.419 0.419 0.419
Sr 0.581 0.000 0.000
Ru 0.000 0.000 0.198
Ru 0.000 0.198 0.000
Ru 0.198 0.000 0.000
Ru 0.802 0.802 0.802
CELL_PARAMETERS angstrom
-4.546 4.546 4.546
4.546 -4.546 4.546
4.546 4.546 -4.546
! - crystal system = cubic
! - M_tot (μB per atom) = 0.997
! - D(E_F) (states/eV/atom) = 1.22
! - calculated formation energy (eV/atom) = 1.029

! Cu4Si, optimized geometry, DFT PBE; values from VASP
&SYSTEM
  ibrav = 0, nat = 10, ntyp = 2
/
ATOMIC_SPECIES
Cu 63.55 Cu.upf
Si 28.09 Si.upf
ATOMIC_POSITIONS crystal
Cu 0.000 0.000 0.000
Cu 0.194 0.194 0.000
Cu 0.306 0.806 0.500
Cu 0.352 0.602 0.750
Cu 0.500 0.000 0.500
Cu 0.648 0.398 0.250
Cu 0.694 0.194 0.500
Cu 0.806 0.806 0.000
Si 0.140 0.390 0.750
Si 0.860 0.610 0.250
CELL_PARAMETERS angstrom
-1.947 2.493 6.273
1.947 -2.493 6.273
1.947 2.493 -6.273
! - E_form (uncorrected) (meV/atom) = 8.0
! - energy above the lowest structure with this stoichiometry (meV/atom) = 62
! - crystal system = orthorhombic
! - M_tot (μB per atom) = 0.000
! - D(E_F) (states/eV/atom) = 0.43